! SrNiTe (PBE, optimized geometry); values from VASP
! Formation energy (no corrections), meV per atom: -785.8
&SYSTEM
  ibrav = 0, nat = 6, ntyp = 3
/
ATOMIC_SPECIES
Sr 87.62 Sr.upf
Ni 58.69 Ni.upf
Te 127.60 Te.upf
CELL_PARAMETERS angstrom
4.447 0.000 0.000
-2.223 3.851 0.000
0.000 0.000 9.327
ATOMIC_POSITIONS crystal
Sr 0.333 0.667 0.219
Sr 0.667 0.333 0.781
Ni 0.333 0.667 0.539
Ni 0.667 0.333 0.461
Te 0.000 0.000 0.000
Te 0.000 0.000 0.500

! MgScTl2Os (PBE, optimized geometry); values from VASP
! Formation enthalpy at 0 K, eV per formula unit: 8.79
&SYSTEM
  ibrav = 0, nat = 5, ntyp = 4
/
ATOMIC_SPECIES
Mg 24.30 Mg.upf
Sc 44.96 Sc.upf
Tl 204.38 Tl.upf
Os 190.23 Os.upf
CELL_PARAMETERS angstrom
5.413 0.000 0.000
0.000 5.413 0.000
0.000 0.000 5.449
ATOMIC_POSITIONS crystal
Mg 0.000 0.000 0.000
Sc 0.000 0.000 0.500
Tl 0.000 0.500 0.500
Tl 0.500 0.000 0.500
Os 0.500 0.500 0.000

! Na2Tl3IrO6 (PBE, optimized geometry); values from VASP
! Formation energy (no corrections), meV per atom: -923.1
&SYSTEM
  ibrav = 0, nat = 12, ntyp = 4
/
ATOMIC_SPECIES
Na 22.99 Na.upf
Tl 204.38 Tl.upf
Ir 192.22 Ir.upf
O 16.00 O.upf
CELL_PARAMETERS angstrom
2.991 -5.241 0.000
2.991 5.241 0.000
-1.736 0.000 5.872
ATOMIC_POSITIONS crystal
Na 0.167 0.833 0.000
Na 0.833 0.167 0.000
Tl 0.000 0.000 0.500
Tl 0.334 0.666 0.500
Tl 0.666 0.334 0.500
Ir 0.500 0.500 0.000
O 0.174 0.434 0.810
O 0.303 0.303 0.217
O 0.434 0.174 0.810
O 0.566 0.826 0.190
O 0.697 0.697 0.783
O 0.826 0.566 0.190

! MgSO9 (PBE, optimized geometry); values from VASP
! Energy above the lowest structure with this stoichiometry, eV/atom: 0.0000
! Formation energy (no corrections), meV per atom: -835.6
&SYSTEM
  ibrav = 0, nat = 11, ntyp = 3
/
ATOMIC_SPECIES
Mg 24.30 Mg.upf
S 32.06 S.upf
O 16.00 O.upf
CELL_PARAMETERS angstrom
5.329 0.000 0.000
2.414 4.986 0.000
0.032 2.070 7.438
ATOMIC_POSITIONS crystal
Mg 0.000 0.000 0.000
S 0.398 0.344 0.974
O 0.216 0.641 0.947
O 0.238 0.190 0.960
O 0.496 0.899 0.592
O 0.547 0.251 0.173
O 0.622 0.286 0.855
O 0.743 0.822 0.645
O 0.783 0.966 0.203
O 0.873 0.333 0.481
O 0.981 0.377 0.343

! YPuRh (PBE, optimized geometry); values from VASP
! Formation enthalpy at 0 K, eV per formula unit: -1.03
! Energy above the lowest structure with this stoichiometry, eV/atom: 0.0868
&SYSTEM
  ibrav = 0, nat = 3, ntyp = 3
/
ATOMIC_SPECIES
Y 88.91 Y.upf
Pu 244.00 Pu.upf
Rh 102.91 Rh.upf
CELL_PARAMETERS angstrom
-1.748 1.748 5.875
1.748 -1.748 5.875
1.748 1.748 -5.875
ATOMIC_POSITIONS crystal
Y 0.000 0.000 0.000
Pu 0.722 0.722 0.000
Rh 0.357 0.357 0.000

! Ca2Ga4FeIr3 (PBE, optimized geometry); values from VASP
! Formation enthalpy at 0 K, eV per formula unit: -4.75
&SYSTEM
  ibrav = 0, nat = 10, ntyp = 4
/
ATOMIC_SPECIES
Ca 40.08 Ca.upf
Ga 69.72 Ga.upf
Fe 55.84 Fe.upf
Ir 192.22 Ir.upf
CELL_PARAMETERS angstrom
4.077 0.000 0.000
0.000 4.077 0.000
0.000 0.000 10.967
ATOMIC_POSITIONS crystal
Ca 0.000 0.500 0.248
Ca 0.500 0.000 0.752
Ga 0.000 0.000 0.500
Ga 0.000 0.500 0.867
Ga 0.500 0.000 0.133
Ga 0.500 0.500 0.500
Fe 0.500 0.500 0.000
Ir 0.000 0.000 0.000
Ir 0.000 0.500 0.637
Ir 0.500 0.000 0.363

Respective magnetization values: 0.000; 2.446; 0.000; 3.938; 5.847; 1.828 μB/f.u..